ErGa3Pt3 | PBE | relaxed

Cell and atoms, written as POSCAR:
```
ErGa3Pt3
1.0
6.820 0.000 0.000
0.000 6.820 0.000
0.000 0.000 6.820
Er Ga Pt
2 6 6
Cartesian
0.000 0.000 0.000
3.410 3.410 3.410
0.000 1.705 3.410
0.000 5.115 3.410
1.705 3.410 0.000
3.410 0.000 1.705
3.410 0.000 5.115
5.115 3.410 0.000
0.000 3.410 1.705
0.000 3.410 5.115
1.705 0.000 3.410
3.410 1.705 0.000
3.410 5.115 0.000
5.115 0.000 3.410
```

Properties
DFT total energy ... -4.86 eV/atom
Density of states at the Fermi level ... 0.64 states/eV per atom
Distance to the lowest polymorph of the same formula ... 3.51 eV per formula unit
Energy of formation from the pure elements ... -0.326 eV per atom